No. 1
Density functional theory data (PBE-GGA) for a relaxed structure of EuGaAgSn.

a b c (Å): 7.211 7.211 7.211
angles (deg): 90.00 90.00 90.00
Space group F-43m (No. 216)
Symmetry-distinct sites (fractional):
Eu (0.000, 0.000, 0.000) x4
Ga (0.250, 0.250, 0.750) x4
Ag (0.250, 0.250, 0.250) x4
Sn (0.000, 0.000, 0.500) x4

Values from the calculation:
Energy in eV/atom: -5.38
D(E_F) in states/eV/cell: 3.1

No. 2
Density functional theory data (PBE-GGA) for a relaxed structure of SrEuGaAg.

a b c (Å): 7.699 7.699 7.699
angles (deg): 90.00 90.00 90.00
Space group F-43m (No. 216)
Symmetry-distinct sites (fractional):
Sr (0.000, 0.000, 0.000) x4
Eu (0.000, 0.000, 0.500) x4
Ga (0.250, 0.250, 0.750) x4
Ag (0.250, 0.250, 0.250) x4

Values from the calculation:
Energy in eV/atom: -4.78
D(E_F) in states/eV/cell: 32.8

No. 3
Density functional theory data (PBE-GGA) for a relaxed structure of EuThGaAg.

a b c (Å): 7.478 7.478 7.478
angles (deg): 90.00 90.00 90.00
Space group F-43m (No. 216)
Symmetry-distinct sites (fractional):
Eu (0.000, 0.000, 0.000) x4
Th (0.000, 0.000, 0.500) x4
Ga (0.250, 0.250, 0.750) x4
Ag (0.250, 0.250, 0.250) x4

Values from the calculation:
Energy in eV/atom: -6.15
D(E_F) in states/eV/cell: 17.1

No. 4
Density functional theory data (PBE-GGA) for a relaxed structure of EuTlGaAg.

a b c (Å): 7.258 7.258 7.258
angles (deg): 90.00 90.00 90.00
Space group F-43m (No. 216)
Symmetry-distinct sites (fractional):
Eu (0.000, 0.000, 0.000) x4
Tl (0.000, 0.000, 0.500) x4
Ga (0.250, 0.250, 0.750) x4
Ag (0.250, 0.250, 0.250) x4

Values from the calculation:
Energy in eV/atom: -4.87
D(E_F) in states/eV/cell: 23.0

No. 5
Density functional theory data (PBE-GGA) for a relaxed structure of EuYGaAg.

a b c (Å): 7.387 7.387 7.387
angles (deg): 90.00 90.00 90.00
Space group F-43m (No. 216)
Symmetry-distinct sites (fractional):
Eu (0.000, 0.000, 0.000) x4
Y (0.000, 0.000, 0.500) x4
Ga (0.250, 0.250, 0.250) x4
Ag (0.250, 0.250, 0.750) x4

Values from the calculation:
Energy in eV/atom: -6.05
D(E_F) in states/eV/cell: 36.7

No. 6
Density functional theory data (PBE-GGA) for a relaxed structure of EuGdAg4.

a b c (Å): 10.205 10.205 10.205
angles (deg): 90.00 90.00 90.00
Space group F-43m (No. 216)
Symmetry-distinct sites (fractional):
Eu (0.000, 0.000, 0.000) x4
Gd (0.250, 0.250, 0.250) x4
Ag (0.095, 0.095, 0.405) x16

Values from the calculation:
Energy in eV/atom: -5.31
D(E_F) in states/eV/cell: 20.5

No. 7
Density functional theory data (PBE-GGA) for a relaxed structure of EuGdAgGe.

a b c (Å): 7.374 7.374 7.374
angles (deg): 90.00 90.00 90.00
Space group F-43m (No. 216)
Symmetry-distinct sites (fractional):
Eu (0.000, 0.000, 0.000) x4
Gd (0.000, 0.000, 0.500) x4
Ag (0.250, 0.250, 0.750) x4
Ge (0.250, 0.250, 0.250) x4

Values from the calculation:
Energy in eV/atom: -8.48
D(E_F) in states/eV/cell: 37.3

No. 8
Density functional theory data (PBE-GGA) for a relaxed structure of EuGdAgHg.

a b c (Å): 7.551 7.551 7.551
angles (deg): 90.00 90.00 90.00
Space group F-43m (No. 216)
Symmetry-distinct sites (fractional):
Eu (0.000, 0.000, 0.000) x4
Gd (0.000, 0.000, 0.500) x4
Ag (0.250, 0.250, 0.750) x4
Hg (0.250, 0.250, 0.250) x4

Values from the calculation:
Energy in eV/atom: -7.26
D(E_F) in states/eV/cell: 36.4

No. 9
Density functional theory data (PBE-GGA) for a relaxed structure of EuGdInAg.

a b c (Å): 7.639 7.639 7.639
angles (deg): 90.00 90.00 90.00
Space group F-43m (No. 216)
Symmetry-distinct sites (fractional):
Eu (0.000, 0.000, 0.000) x4
Gd (0.000, 0.000, 0.500) x4
In (0.250, 0.250, 0.250) x4
Ag (0.250, 0.250, 0.750) x4

Values from the calculation:
Energy in eV/atom: -7.85
D(E_F) in states/eV/cell: 37.1

No. 10
Density functional theory data (PBE-GGA) for a relaxed structure of EuGdAgIr.

a b c (Å): 7.159 7.159 7.159
angles (deg): 90.00 90.00 90.00
Space group F-43m (No. 216)
Symmetry-distinct sites (fractional):
Eu (0.000, 0.000, 0.000) x4
Gd (0.000, 0.000, 0.500) x4
Ag (0.250, 0.250, 0.250) x4
Ir (0.250, 0.250, 0.750) x4

Values from the calculation:
Energy in eV/atom: -9.43
D(E_F) in states/eV/cell: 22.0

No. 11
Density functional theory data (PBE-GGA) for a relaxed structure of LiEuGdAg.

a b c (Å): 7.524 7.524 7.524
angles (deg): 90.00 90.00 90.00
Space group F-43m (No. 216)
Symmetry-distinct sites (fractional):
Li (0.000, 0.000, 0.000) x4
Eu (0.250, 0.250, 0.250) x4
Gd (0.250, 0.250, 0.750) x4
Ag (0.000, 0.000, 0.500) x4

Values from the calculation:
Energy in eV/atom: -7.35
D(E_F) in states/eV/cell: 28.8

No. 12
Density functional theory data (PBE-GGA) for a relaxed structure of EuGdAgPb.

a b c (Å): 7.694 7.694 7.694
angles (deg): 90.00 90.00 90.00
Space group F-43m (No. 216)
Symmetry-distinct sites (fractional):
Eu (0.000, 0.000, 0.000) x4
Gd (0.000, 0.000, 0.500) x4
Ag (0.250, 0.250, 0.750) x4
Pb (0.250, 0.250, 0.250) x4

Values from the calculation:
Energy in eV/atom: -8.17
D(E_F) in states/eV/cell: 33.1